# 1
This record from Alexandria via LeMat-Bulk describes an optimized crystal structure of CeMg9Pt2. The functional is PBE.

```
CeMg9Pt2
1.0
-3.773 -5.049 -4.115
4.188 -2.537 -7.611
1.832 -8.629 2.023
Ce Mg Pt
2 18 4
Direct
0.500 0.000 0.000 Ce
0.250 0.500 0.500 Ce
0.750 0.500 0.500 Mg
0.000 0.000 0.000 Mg
0.013 0.924 0.680 Mg
0.618 0.076 0.320 Mg
0.687 0.180 0.576 Mg
0.443 0.820 0.424 Mg
0.737 0.820 0.576 Mg
0.132 0.180 0.424 Mg
0.063 0.924 0.320 Mg
0.307 0.076 0.680 Mg
0.737 0.576 0.820 Mg
0.132 0.424 0.180 Mg
0.063 0.320 0.924 Mg
0.307 0.680 0.076 Mg
0.013 0.680 0.924 Mg
0.618 0.320 0.076 Mg
0.687 0.576 0.180 Mg
0.443 0.424 0.820 Mg
0.875 0.250 0.750 Pt
0.875 0.750 0.250 Pt
0.875 0.250 0.250 Pt
0.375 0.750 0.750 Pt
```

Results
ΔE_f = -0.359 eV per atom

=====

# 2
This record from Alexandria via LeMat-Bulk describes an optimized crystal structure of Ce3Mg2Pt3. The functional is PBE.

```
Ce3Mg2Pt3
1.0
5.880 0.000 0.000
0.000 8.406 0.000
0.000 -4.203 7.280
Ce Mg Pt
6 4 6
Direct
0.750 0.269 0.000 Ce
0.750 0.731 0.731 Ce
0.750 0.000 0.269 Ce
0.250 0.731 0.000 Ce
0.250 0.269 0.269 Ce
0.250 0.000 0.731 Ce
0.000 0.333 0.667 Mg
0.500 0.667 0.333 Mg
0.000 0.667 0.333 Mg
0.500 0.333 0.667 Mg
0.750 0.610 0.000 Pt
0.750 0.390 0.390 Pt
0.750 0.000 0.610 Pt
0.250 0.390 0.000 Pt
0.250 0.610 0.610 Pt
0.250 0.000 0.390 Pt
```

Results
ΔE_f = -0.876 eV per atom

=====

# 3
This record from Alexandria via LeMat-Bulk describes an optimized crystal structure of CeMgPt. The functional is PBE.

```
CeMgPt
1.0
4.762 0.000 0.000
2.381 4.124 0.000
2.381 1.375 3.888
Mg Ce Pt
1 1 1
Direct
0.000 0.000 0.000 Mg
0.500 0.500 0.500 Ce
0.250 0.250 0.250 Pt
```

Results
Polymorph energy (0 for the lowest one) = 163.8 meV/atom
ΔE_f = -0.686 eV per atom

=====

# 4
This record from Alexandria via LeMat-Bulk describes an optimized crystal structure of Ce2MgPt. The functional is PBE.

```
Ce2MgPt
1.0
-3.031 1.383 1.592
-2.230 -2.204 1.951
3.861 1.864 10.013
Mg Ce Pt
1 2 1
Direct
0.000 0.000 0.000 Mg
0.108 0.108 0.677 Ce
0.892 0.892 0.323 Ce
0.500 0.500 0.500 Pt
```

Results
Polymorph energy (0 for the lowest one) = 363.4 meV/atom
ΔE_f = -0.138 eV per atom

=====

# 5
This record from Alexandria via LeMat-Bulk describes an optimized crystal structure of Ce2MgPt. The functional is PBE.

```
Ce2MgPt
1.0
4.608 0.000 0.000
0.000 4.392 0.000
0.000 0.000 4.392
Mg Ce Pt
1 2 1
Direct
0.500 0.500 0.500 Mg
0.000 0.000 0.500 Ce
0.000 0.500 0.000 Ce
0.500 0.000 0.000 Pt
```

Results
Polymorph energy (0 for the lowest one) = 57.3 meV/atom
ΔE_f = -0.445 eV per atom

=====

# 6
This record from Alexandria via LeMat-Bulk describes an optimized crystal structure of CeMgPt2. The functional is PBE.

```
CeMgPt2
1.0
3.517 0.000 -1.281
0.000 4.319 0.000
-0.001 0.000 5.465
Ce Mg Pt
1 1 2
Direct
0.437 0.500 0.414 Ce
0.724 0.000 0.986 Mg
0.171 0.500 0.881 Pt
0.999 0.000 0.536 Pt
```

Results
ΔE_f = -0.962 eV per atom

=====

# 7
This record from Alexandria via LeMat-Bulk describes an optimized crystal structure of Ce2MgPt7. The functional is PBE.

```
Ce2MgPt7
1.0
-1.630 -2.960 -1.985
1.024 -2.480 2.857
-11.133 2.182 5.886
Ce Mg Pt
2 1 7
Direct
0.500 0.000 0.733 Ce
0.000 0.500 0.267 Ce
0.500 0.500 0.000 Mg
0.000 0.500 0.852 Pt
0.500 0.000 0.351 Pt
0.500 0.000 0.148 Pt
0.000 0.500 0.649 Pt
0.000 0.000 0.500 Pt
0.000 0.000 0.000 Pt
0.500 0.500 0.500 Pt
```

Results
ΔE_f = -0.770 eV per atom

=====

# 8
This record from Alexandria via LeMat-Bulk describes an optimized crystal structure of Ce2MgPt9. The functional is PBE.

```
Ce2MgPt9
1.0
-1.656 -1.251 4.985
-4.838 -2.278 0.746
1.531 -9.290 1.102
Ce Mg Pt
2 1 9
Direct
0.863 0.863 0.412 Ce
0.137 0.137 0.588 Ce
0.000 0.000 0.000 Mg
0.668 0.668 0.997 Pt
0.332 0.332 0.003 Pt
0.500 0.500 0.500 Pt
0.414 0.414 0.254 Pt
0.919 0.414 0.254 Pt
0.414 0.919 0.254 Pt
0.586 0.586 0.746 Pt
0.586 0.081 0.746 Pt
0.081 0.586 0.746 Pt
```

Results
Polymorph energy (0 for the lowest one) = 151.8 meV/atom
ΔE_f = -0.710 eV per atom

=====

# 9
This record from Alexandria via LeMat-Bulk describes an optimized crystal structure of Ce3Mg4Pt4. The functional is PBE.

```
Ce3Mg4Pt4
1.0
-0.671 3.840 0.326
-4.377 -0.183 -6.842
-3.682 -3.253 7.266
Ce Mg Pt
3 4 4
Direct
0.109 0.109 0.219 Ce
0.891 0.891 0.781 Ce
0.000 0.500 0.000 Ce
0.324 0.135 0.648 Mg
0.676 0.487 0.352 Mg
0.676 0.865 0.352 Mg
0.324 0.513 0.648 Mg
0.245 0.745 0.489 Pt
0.755 0.255 0.511 Pt
0.500 0.780 0.000 Pt
0.500 0.220 0.000 Pt
```

Results
ΔE_f = -0.849 eV per atom

=====

# 10
This record from Alexandria via LeMat-Bulk describes an optimized crystal structure of Ce3MgPt12. The functional is PBE.

```
Ce3MgPt12
1.0
4.135 0.000 0.000
0.000 4.135 0.000
0.000 0.000 16.371
Ce Mg Pt
3 1 12
Direct
0.000 0.000 0.241 Ce
0.000 0.000 0.500 Ce
0.000 0.000 0.759 Ce
0.000 0.000 0.000 Mg
0.500 0.500 0.000 Pt
0.500 0.500 0.245 Pt
0.500 0.500 0.500 Pt
0.500 0.500 0.755 Pt
0.500 0.000 0.117 Pt
0.500 0.000 0.372 Pt
0.500 0.000 0.628 Pt
0.500 0.000 0.883 Pt
0.000 0.500 0.117 Pt
0.000 0.500 0.372 Pt
0.000 0.500 0.628 Pt
0.000 0.500 0.883 Pt
```

Results
ΔE_f = -0.893 eV per atom

=====

# 11
This record from Alexandria via LeMat-Bulk describes an optimized crystal structure of Ce5MgPt4. The functional is PBE.

```
Ce5MgPt4
1.0
4.541 0.000 0.000
0.000 6.545 -2.016
-2.270 -3.232 8.911
Ce Mg Pt
5 1 4
Direct
0.830 0.651 0.660 Ce
0.838 0.239 0.677 Ce
0.162 0.761 0.323 Ce
0.500 0.500 0.000 Ce
0.170 0.349 0.340 Ce
0.500 0.000 0.000 Mg
0.343 0.957 0.686 Pt
0.013 0.802 0.026 Pt
0.657 0.043 0.314 Pt
0.987 0.198 0.974 Pt
```

Results
ΔE_f = -0.766 eV per atom

=====

# 12
This record from Alexandria via LeMat-Bulk describes an optimized crystal structure of Ce2Mg2Pt15. The functional is PBE.

```
Ce2Mg2Pt15
1.0
7.021 -0.001 -0.001
0.910 6.962 -0.001
0.910 0.799 6.916
Ce Mg Pt
2 2 15
Direct
0.351 0.351 0.351 Ce
0.649 0.649 0.649 Ce
0.102 0.102 0.102 Mg
0.898 0.898 0.898 Mg
0.500 0.000 0.000 Pt
0.000 0.000 0.500 Pt
0.000 0.500 0.000 Pt
0.000 0.686 0.314 Pt
0.686 0.314 0.000 Pt
0.314 0.000 0.686 Pt
0.314 0.686 0.000 Pt
0.686 0.000 0.314 Pt
0.000 0.314 0.686 Pt
0.159 0.656 0.656 Pt
0.656 0.656 0.159 Pt
0.656 0.159 0.656 Pt
0.841 0.344 0.344 Pt
0.344 0.344 0.841 Pt
0.344 0.841 0.344 Pt
```

Results
ΔE_f = -0.609 eV per atom

=====

# 13
This record from Alexandria via LeMat-Bulk describes an optimized crystal structure of CeMg5Pt6. The functional is PBE.

```
CeMg5Pt6
1.0
4.379 0.002 -1.171
-0.003 6.780 -0.001
-1.174 0.000 7.287
Mg Pt Ce
5 6 1
Direct
0.663 0.500 0.331 Mg
0.321 0.000 0.651 Mg
0.000 0.500 0.000 Mg
0.679 0.000 0.349 Mg
0.337 0.500 0.669 Mg
0.833 0.739 0.662 Pt
0.833 0.261 0.662 Pt
0.500 0.264 0.000 Pt
0.500 0.736 0.000 Pt
0.167 0.739 0.338 Pt
0.167 0.261 0.338 Pt
0.000 0.000 0.000 Ce
```

Results
ΔE_f = -0.861 eV per atom

=====

# 14
This record from Alexandria via LeMat-Bulk describes an optimized crystal structure of CeMgPt. The functional is PBE.

```
CeMgPt
1.0
-0.271 3.023 2.003
-3.684 1.308 -2.473
-0.562 -2.571 3.805
Mg Ce Pt
1 1 1
Direct
0.167 0.333 0.667 Mg
0.667 0.667 0.333 Ce
0.166 0.000 0.000 Pt
```

Results
Polymorph energy (0 for the lowest one) = 232.2 meV/atom
ΔE_f = -0.618 eV per atom

=====

# 15
This record from Alexandria via LeMat-Bulk describes an optimized crystal structure of CeMgPt. The functional is PBE.

```
CeMgPt
1.0
4.916 0.000 0.000
2.458 4.257 0.000
2.458 1.419 7.256
Ce Mg Pt
2 2 2
Direct
0.117 0.117 0.650 Ce
0.883 0.883 0.350 Ce
0.629 0.629 0.112 Mg
0.371 0.371 0.888 Mg
0.751 0.751 0.747 Pt
0.249 0.249 0.253 Pt
```

Results
Polymorph energy (0 for the lowest one) = 201.5 meV/atom
ΔE_f = -0.649 eV per atom

=====

# 16
This record from Alexandria via LeMat-Bulk describes an optimized crystal structure of CeMg2Pt2. The functional is PBE.

```
CeMg2Pt2
1.0
-0.072 3.470 1.784
-5.601 -3.321 1.966
4.153 -3.210 6.409
Ce Mg Pt
2 4 4
Direct
0.410 0.820 0.342 Ce
0.590 0.180 0.842 Ce
0.317 0.635 0.964 Mg
0.683 0.365 0.464 Mg
0.127 0.255 0.205 Mg
0.873 0.745 0.705 Mg
0.227 0.455 0.679 Pt
0.773 0.545 0.179 Pt
0.964 0.929 0.014 Pt
0.036 0.071 0.514 Pt
```

Results
Polymorph energy (0 for the lowest one) = 0.0 meV/atom
ΔE_f = -0.833 eV per atom

=====

# 17
This record from Alexandria via LeMat-Bulk describes an optimized crystal structure of Ce2MgPt. The functional is PBE.

```
Ce2MgPt
1.0
3.941 0.000 0.000
1.970 3.413 0.000
1.970 1.138 8.824
Ce Mg Pt
2 1 1
Direct
0.066 0.066 0.802 Ce
0.267 0.267 0.198 Ce
0.500 0.500 0.501 Mg
0.667 0.667 0.999 Pt
```

Results
Polymorph energy (0 for the lowest one) = 153.3 meV/atom
ΔE_f = -0.349 eV per atom

=====

# 18
This record from Alexandria via LeMat-Bulk describes an optimized crystal structure of Ce2MgPt. The functional is PBE.

```
Ce2MgPt
1.0
5.897 0.000 0.000
0.000 5.740 -0.065
0.000 -0.120 11.748
Ce Mg Pt
8 4 4
Direct
0.874 0.915 0.905 Ce
0.126 0.085 0.095 Ce
0.374 0.585 0.595 Ce
0.626 0.415 0.405 Ce
0.745 0.381 0.093 Ce
0.255 0.619 0.907 Ce
0.245 0.119 0.407 Ce
0.755 0.881 0.593 Ce
0.252 0.594 0.210 Mg
0.748 0.406 0.790 Mg
0.752 0.906 0.290 Mg
0.248 0.094 0.710 Mg
0.940 0.341 0.592 Pt
0.060 0.659 0.408 Pt
0.440 0.159 0.908 Pt
0.560 0.841 0.092 Pt
```

Results
Polymorph energy (0 for the lowest one) = 47.6 meV/atom
ΔE_f = -0.454 eV per atom

=====

# 19
This record from Alexandria via LeMat-Bulk describes an optimized crystal structure of CeMgPt. The functional is PBE.

```
CeMgPt
1.0
-7.177 -0.370 -2.208
5.393 -3.120 -4.208
-0.445 -3.517 2.036
Ce Mg Pt
3 3 3
Direct
0.585 0.585 0.000 Ce
0.415 0.000 0.000 Ce
0.000 0.415 0.000 Ce
0.000 0.759 0.500 Mg
0.241 0.241 0.500 Mg
0.759 0.000 0.500 Mg
0.333 0.667 0.500 Pt
0.000 0.000 0.000 Pt
0.667 0.333 0.500 Pt
```

Results
Polymorph energy (0 for the lowest one) = 0.0 meV/atom
ΔE_f = -0.850 eV per atom

=====

# 20
This record from Alexandria via LeMat-Bulk describes an optimized crystal structure of Ce2MgPtRh5. The functional is PBE.

```
Ce2MgPtRh5
1.0
8.030 0.000 0.000
0.000 8.030 0.000
-4.015 -4.015 5.395
Ce Mg Pt Rh
4 2 2 10
Direct
0.138 0.362 0.000 Ce
0.638 0.138 0.000 Ce
0.362 0.862 0.000 Ce
0.862 0.638 0.000 Ce
0.250 0.250 0.500 Mg
0.750 0.750 0.500 Mg
0.250 0.750 0.500 Pt
0.750 0.250 0.500 Pt
0.935 0.435 0.274 Rh
0.661 0.161 0.726 Rh
0.065 0.565 0.726 Rh
0.161 0.065 0.726 Rh
0.565 0.661 0.726 Rh
0.839 0.935 0.274 Rh
0.435 0.339 0.274 Rh
0.339 0.839 0.274 Rh
0.500 0.500 0.000 Rh
0.000 0.000 0.000 Rh
```

Results
ΔE_f = -0.255 eV per atom

=====

# 21
This record from Alexandria via LeMat-Bulk describes an optimized crystal structure of CeMgRuPt. The functional is PBE.

```
CeMgRuPt
1.0
-4.186 1.563 1.568
-3.656 -2.987 0.367
-1.567 -1.311 4.272
Ru Mg Ce Pt
1 1 1 1
Direct
0.250 0.250 0.250 Ru
0.000 0.000 0.000 Mg
0.500 0.500 0.500 Ce
0.750 0.750 0.750 Pt
```

Results
ΔE_f = -0.533 eV per atom

=====

# 22
This record from Alexandria via LeMat-Bulk describes an optimized crystal structure of CeMgSc2Pt4. The functional is PBE.

```
CeMgSc2Pt4
1.0
-0.767 4.348 -1.268
-0.165 1.098 -4.458
-8.536 0.347 -1.966
Ce Mg Sc Pt
1 1 2 4
Direct
0.000 0.000 0.000 Ce
0.500 0.500 0.500 Mg
0.760 0.760 0.719 Sc
0.240 0.240 0.281 Sc
0.393 0.393 0.822 Pt
0.873 0.873 0.380 Pt
0.127 0.127 0.620 Pt
0.607 0.607 0.178 Pt
```

Results
ΔE_f = -1.082 eV per atom